Model i:
VASP calculation (PBE) on an optimized crystal structure of CsGa3Cu.

For the volume, the calculation gives 47.15 A^3/atom. For the magnetization, the calculation gives 0.0 Bohr magnetons per cell. Its space group is No. 221.

Cell and atoms, written as POSCAR:
```
CsGa3Cu
1.0
6.177 0.000 0.000
0.000 6.177 0.000
0.000 0.000 6.177
Ga Cu Cs
3 1 1
Cartesian
3.089 0.000 0.000
0.000 0.000 3.089
0.000 3.089 0.000
3.089 3.089 3.089
0.000 0.000 0.000
```


Model ii:
VASP calculation (PBE) on an optimized crystal structure of CsGa3Cu.

For the volume, the calculation gives 23.12 A^3/atom. For the magnetization, the calculation gives 0.0 Bohr magnetons per cell. Its space group is No. 63.

Cell and atoms, written as POSCAR:
```
CsGa3Cu
1.0
-3.674 1.370 3.217
-4.897 -3.558 -4.077
3.356 -3.465 5.308
Cs Ga Cu
2 6 2
Cartesian
0.173 -2.354 3.199
-5.388 -3.299 1.250
-3.115 -1.232 2.965
-2.232 -1.815 0.224
-2.984 -3.837 4.224
-2.100 -4.421 1.483
-4.210 -2.244 -1.852
-1.006 -3.408 6.301
0.000 0.000 0.000
-1.837 0.685 1.609
```


Model iii:
VASP calculation (PBE) on an optimized crystal structure of CsGa3Cu.

For the volume, the calculation gives 25.63 A^3/atom. For the magnetization, the calculation gives 0.0 Bohr magnetons per cell. Its space group is No. 221.

Cell and atoms, written as POSCAR:
```
CsGa3Cu
1.0
5.042 0.000 0.000
0.000 5.042 0.000
0.000 0.000 5.042
Cu Ga Cs
1 3 1
Cartesian
0.000 0.000 0.000
0.000 2.521 0.000
2.521 0.000 0.000
0.000 0.000 2.521
2.521 2.521 2.521
```


Stability, highest: model ii


Model i:
VASP calculation (PBE) on an optimized crystal structure of CsGaCuS2.

For the volume, the calculation gives 25.33 A^3/atom. For the magnetization, the calculation gives 0.0 Bohr magnetons per cell. Its space group is No. 123.

Cell and atoms, written as POSCAR:
```
CsGaCuS2
1.0
-0.597 4.129 2.441
-5.264 0.005 -1.296
-0.989 -2.513 4.008
Cs S Cu Ga
1 2 1 1
Cartesian
-2.632 0.002 -0.648
-0.299 2.064 1.220
-0.495 -1.256 2.004
0.000 0.000 0.000
-3.425 0.810 2.576
```


Model ii:
VASP calculation (PBE) on an optimized crystal structure of CsGaCuS2.

For the volume, the calculation gives 27.66 A^3/atom. For the magnetization, the calculation gives 0.0 Bohr magnetons per cell. Its space group is No. 67.

Cell and atoms, written as POSCAR:
```
CsGaCuS2
1.0
-3.199 -4.627 -2.610
5.453 -2.406 -2.418
-1.873 -2.616 6.933
Cs S Cu Ga
2 4 2 2
Cartesian
2.391 -4.215 1.031
-2.011 -5.434 0.874
0.552 -5.341 -1.995
-0.171 -4.308 3.900
-0.689 -1.990 0.426
1.070 -7.659 1.479
0.000 0.000 0.000
2.727 -1.203 -1.209
2.490 -4.118 -3.119
-0.236 -2.915 -1.910
```


Stability, highest: model ii


Model i:
VASP calculation (PBE) on an optimized crystal structure of CsCuGe.

For the volume, the calculation gives 30.69 A^3/atom. For the magnetization, the calculation gives 0.0 Bohr magnetons per cell. Its space group is No. 187.

Cell and atoms, written as POSCAR:
```
CsCuGe
1.0
-4.334 0.863 -4.203
-1.479 -3.834 0.738
-1.458 3.254 2.172
Cu Ge Cs
1 1 1
Cartesian
-2.189 1.035 0.992
-0.722 0.144 -0.700
-4.360 -0.896 -1.585
```


Model ii:
VASP calculation (PBE) on an optimized crystal structure of CsCuGe.

For the volume, the calculation gives 36.87 A^3/atom. For the magnetization, the calculation gives 0.0 Bohr magnetons per cell. Its space group is No. 129.

Cell and atoms, written as POSCAR:
```
CsCuGe
1.0
-3.821 0.261 2.171
1.666 -2.484 3.231
3.673 9.397 5.333
Cu Cs Ge
2 2 2
Cartesian
0.759 3.587 5.367
1.837 4.699 2.666
3.689 6.067 5.763
-1.094 2.219 2.271
0.264 5.693 4.242
2.332 2.593 3.792
```


Stability, highest: model ii


Model i:
VASP calculation (PBE) on an optimized crystal structure of CsCuGe3.

For the volume, the calculation gives 25.45 A^3/atom. For the magnetization, the calculation gives 0.0 Bohr magnetons per cell. Its space group is No. 221.

Cell and atoms, written as POSCAR:
```
CsCuGe3
1.0
-2.420 3.886 -2.084
-1.091 -2.831 -4.012
-4.273 -1.478 2.205
Cu Ge Cs
1 3 1
Cartesian
0.000 0.000 0.000
-0.545 -1.415 -2.006
-1.210 1.943 -1.042
-2.136 -0.739 1.102
-3.892 -0.212 -1.946
```


Model ii:
VASP calculation (PBE) on an optimized crystal structure of CsCuGe3.

For the volume, the calculation gives 37.64 A^3/atom. For the magnetization, the calculation gives 0.0 Bohr magnetons per cell. Its space group is No. 221.

Cell and atoms, written as POSCAR:
```
CsCuGe3
1.0
-5.600 0.631 -1.042
0.207 -4.338 -3.738
-1.200 -3.691 4.217
Ge Cu Cs
3 1 1
Cartesian
-2.800 0.315 -0.521
-0.600 -1.845 2.108
0.103 -2.169 -1.869
-3.297 -3.699 -0.282
0.000 0.000 0.000
```


Stability, highest: model i


Model i:
VASP calculation (PBE) on an optimized crystal structure of CsNa2CuGe.

For the volume, the calculation gives 31.89 A^3/atom. For the magnetization, the calculation gives 0.0 Bohr magnetons per cell. Its space group is No. 123.

Cell and atoms, written as POSCAR:
```
CsNa2CuGe
1.0
5.808 0.000 0.000
0.000 5.808 0.000
0.000 0.000 4.727
Ge Cu Cs Na
1 1 1 2
Cartesian
0.000 0.000 0.000
0.000 0.000 2.364
2.904 2.904 2.364
0.000 2.904 0.000
2.904 0.000 0.000
```


Model ii:
VASP calculation (PBE) on an optimized crystal structure of CsNa2CuGe.

For the volume, the calculation gives 30.71 A^3/atom. For the magnetization, the calculation gives 0.0 Bohr magnetons per cell. Its space group is No. 123.

Cell and atoms, written as POSCAR:
```
CsNa2CuGe
1.0
-5.213 -0.684 -2.375
0.867 -5.698 -0.261
-1.851 -0.474 4.199
Na Ge Cu Cs
2 1 1 1
Cartesian
0.433 -2.849 -0.130
-2.606 -0.342 -1.188
-0.925 -0.237 2.099
0.000 0.000 0.000
-3.099 -3.428 0.781
```


Stability, highest: model i


Model i:
VASP calculation (PBE) on an optimized crystal structure of Cs2CuH.

For the volume, the calculation gives 36.43 A^3/atom. For the magnetization, the calculation gives 0.0 Bohr magnetons per cell. Its space group is No. 225.

Cell and atoms, written as POSCAR:
```
Cs2CuH
1.0
-3.724 -4.541 0.631
-5.324 0.859 2.409
-4.849 -0.332 -3.357
Cs Cu H
2 1 1
Cartesian
-3.474 -1.003 -0.079
-10.423 -3.010 -0.237
-6.948 -2.007 -0.158
0.000 0.000 0.000
```


Model ii:
VASP calculation (PBE) on an optimized crystal structure of Cs2CuH.

For the volume, the calculation gives 44.16 A^3/atom. For the magnetization, the calculation gives 0.0 Bohr magnetons per cell. Its space group is No. 122.

Cell and atoms, written as POSCAR:
```
Cs2CuH
1.0
-3.373 0.131 -7.919
4.950 -6.685 -2.219
-2.635 -6.280 -3.661
H Cu Cs
2 2 4
Cartesian
1.552 -8.121 -5.475
0.788 -3.277 -5.069
0.000 0.000 0.000
-2.610 -4.713 -8.325
1.812 -5.724 -3.766
-0.893 -10.044 -11.484
-1.947 -2.331 -5.668
-1.089 -7.567 -6.680
```


Stability, highest: model ii


Model i:
VASP calculation (PBE) on an optimized crystal structure of CsCuHPt.

For the volume, the calculation gives 21.21 A^3/atom. For the magnetization, the calculation gives 0.0 Bohr magnetons per cell. Its space group is No. 6.

Cell and atoms, written as POSCAR:
```
CsCuHPt
1.0
3.636 0.000 0.002
0.000 3.834 0.000
-0.157 0.000 6.086
Pt Cs H Cu
1 1 1 1
Cartesian
0.940 0.000 1.140
0.899 1.917 4.184
2.758 0.000 1.139
2.762 1.917 1.142
```


Model ii:
VASP calculation (PBE) on an optimized crystal structure of CsCuHPt.

For the volume, the calculation gives 22.48 A^3/atom. For the magnetization, the calculation gives 0.0 Bohr magnetons per cell. Its space group is No. 38.

Cell and atoms, written as POSCAR:
```
CsCuHPt
1.0
-2.498 4.371 -2.699
-2.509 -2.391 -1.550
-5.058 1.108 6.477
Pt Cs Cu H
2 2 2 2
Cartesian
-4.979 -0.379 3.994
-1.196 0.262 1.531
-4.502 1.428 0.434
-5.776 3.178 4.447
-1.425 -1.158 -0.557
-2.700 0.592 3.457
-2.527 -0.917 0.855
-3.802 0.833 4.868
```


Stability, highest: model i


Model i:
VASP calculation (PBE) on an optimized crystal structure of CsCuHPt.

For the volume, the calculation gives 21.10 A^3/atom. For the magnetization, the calculation gives 0.0 Bohr magnetons per cell. Its space group is No. 44.

Cell and atoms, written as POSCAR:
```
CsCuHPt
1.0
-1.883 -0.491 -3.063
-1.464 -3.229 1.417
-9.305 6.288 4.711
Cu Pt Cs H
2 2 2 2
Cartesian
-2.040 -1.613 -0.638
-5.019 3.391 2.541
-0.391 0.264 0.198
-6.717 1.548 1.731
-3.455 0.225 2.087
-8.316 4.738 2.202
-1.397 0.063 -1.301
-5.841 1.838 3.295
```


Model ii:
VASP calculation (PBE) on an optimized crystal structure of CsCuHPt.

For the volume, the calculation gives 21.04 A^3/atom. For the magnetization, the calculation gives 0.0 Bohr magnetons per cell. Its space group is No. 1.

Cell and atoms, written as POSCAR:
```
CsCuHPt
1.0
3.679 0.000 0.003
0.000 3.754 0.004
-0.024 -0.139 6.096
Cu Cs Pt H
1 1 1 1
Cartesian
2.681 3.139 1.147
2.670 1.179 4.192
0.842 1.262 1.143
2.681 1.262 1.144
```


Stability, highest: model ii